LiY2Mn: optimized geometry, PBE.

Results
* ΔE_f: 367.0 meV/atom
* M_tot: 3.51 μB per formula unit
* density of states at the Fermi level: 3.99 states/eV/cell

Lattice parameters (Å, degrees): 5.0904 5.0904 5.0904 60.00 60.00 60.00
Closest atoms and distances in Å follow each position.
Fractional positions:
Li 0.5000 0.5000 0.5000  4 Y 3.12, 4 Mn 3.12
Mn 0.7500 0.7500 0.7500  4 Li 3.12, 4 Y 3.12
Y 0.0000 0.0000 0.0000  4 Mn 3.12, 4 Y 3.12
Y 0.2500 0.2500 0.2500  4 Y 3.12, 4 Li 3.12

MnNi2Pt: optimized geometry, PBE.

Results
* ΔE_f: -90.2 meV/atom
* M_tot: 2.95 μB per formula unit
* density of states at the Fermi level: 5.49 states/eV/cell

Lattice parameters (Å, degrees): 3.0883 3.0883 5.3718 90.00 90.00 90.00
Closest atoms and distances in Å follow each position.
Fractional positions:
Mn 0.5000 0.5000 0.7666  5 Ni 2.50-2.53, 4 Pt 2.62
Ni 0.0000 0.0000 0.0050  4 Ni 2.50, 4 Mn 2.53, 2 Pt 2.64-2.73
Ni 0.5000 0.5000 0.2322  1 Mn 2.50, 4 Ni 2.50, 4 Pt 2.60
Pt 0.0000 0.0000 0.4962  6 Ni 2.60-2.73, 4 Mn 2.62

RbThSn2: optimized geometry, PBE.

Results
* ΔE_f: -284.8 meV/atom
* M_tot: 0.00 μB per formula unit
* density of states at the Fermi level: 2.56 states/eV/cell

Lattice parameters (Å, degrees): 4.2371 4.2371 8.1464 90.00 90.00 90.00
Closest atoms and distances in Å follow each position.
Fractional positions:
Rb 0.5000 0.5000 0.5000  8 Sn 3.97, 2 Th 4.07, 4 Rb 4.24
Sn 0.0000 0.0000 0.8204  1 Sn 2.93
Sn 0.0000 0.0000 0.1796  1 Sn 2.93
Th 0.5000 0.5000 0.0000  8 Sn 3.33

Rb2GeSe3: optimized geometry, PBE.

Results
* M_tot: 0.00 μB per formula unit
* formation energy from raw total energies: -5.06 eV per formula unit

Lattice parameters (Å, degrees): 7.1922 8.5467 16.6296 89.34 88.42 65.12
Closest atoms and distances in Å follow each position.
Fractional positions:
Rb 0.5906 0.3898 0.3475  5 Se 3.41-3.75
Rb 0.0196 0.3898 0.1525  5 Se 3.41-3.75
Rb 0.4094 0.6102 0.6525  5 Se 3.41-3.75
Rb 0.9804 0.6102 0.8475  5 Se 3.41-3.75
Rb 0.3390 0.8413 0.0647  5 Se 3.47-3.75
Rb 0.8196 0.8413 0.4353  5 Se 3.47-3.75
Rb 0.6610 0.1587 0.9353  5 Se 3.47-3.75
Rb 0.1804 0.1587 0.5647  5 Se 3.47-3.75
Ge 0.7452 0.9731 0.1663  4 Se 2.33-2.49
Ge 0.2817 0.9731 0.3337  4 Se 2.33-2.49
Ge 0.2548 0.0269 0.8337  4 Se 2.33-2.49
Ge 0.7183 0.0269 0.6663  4 Se 2.33-2.49
Se 0.5940 0.8120 0.2500  2 Ge 2.48
Se 0.4060 0.1880 0.7500  2 Ge 2.48
Se 0.5416 0.2620 0.1369  1 Ge 2.33
Se 0.1964 0.2620 0.3631  1 Ge 2.33
Se 0.4584 0.7380 0.8631  1 Ge 2.33
Se 0.8036 0.7380 0.6369  1 Ge 2.33
Se 0.6691 0.2168 0.5584  1 Ge 2.34
Se 0.1141 0.2168 0.9416  1 Ge 2.34
Se 0.3309 0.7832 0.4416  1 Ge 2.34
Se 0.8859 0.7832 0.0584  1 Ge 2.34
Se 0.9727 0.0546 0.2500  2 Ge 2.49
Se 0.0273 0.9454 0.7500  2 Ge 2.49

CaOs2W2: optimized geometry, PBE.

Results
* ΔE_f: 232.7 meV/atom
* M_tot: 0.00 μB per formula unit
* density of states at the Fermi level: 6.05 states/eV/cell

Lattice parameters (Å, degrees): 7.8772 7.8772 2.8338 90.00 90.00 90.00
Closest atoms and distances in Å follow each position.
Fractional positions:
Ca 0.0000 0.0000 0.0000  2 Ca 2.83, 4 W 3.03
Ca 0.5000 0.5000 0.0000  2 Ca 2.83, 4 W 3.03
Os 0.1460 0.6460 0.5000  6 W 2.68-2.74, 2 Os 2.83
Os 0.6460 0.8540 0.5000  6 W 2.68-2.74, 2 Os 2.83
Os 0.8540 0.3540 0.5000  6 W 2.68-2.74, 2 Os 2.83
Os 0.3540 0.1460 0.5000  6 W 2.68-2.74, 2 Os 2.83
W 0.3566 0.8566 0.0000  6 Os 2.68-2.74, 2 W 2.83
W 0.8566 0.6434 0.0000  6 Os 2.68-2.74, 2 W 2.83
W 0.6434 0.1434 0.0000  6 Os 2.68-2.74, 2 W 2.83
W 0.1434 0.3566 0.0000  6 Os 2.68-2.74, 2 W 2.83

BaTb2Pt: optimized geometry, PBE.

Results
* ΔE_f: -561.6 meV/atom
* M_tot: 0.00 μB per formula unit
* density of states at the Fermi level: 3.26 states/eV/cell

Lattice parameters (Å, degrees): 4.2509 4.2509 9.7581 77.42 77.42 60.00
Closest atoms and distances in Å follow each position.
Fractional positions:
Ba 0.5009 0.5009 0.4974  6 Tb 4.10-4.16, 6 Ba 4.25
Tb 0.0489 0.0489 0.8534  3 Pt 2.82
Tb 0.2836 0.2836 0.1493  3 Pt 2.83
Pt 0.6667 0.6667 0.0000  6 Tb 2.82-2.83

KMgCo: optimized geometry, PBE.

Results
* offset from the most stable computed form: 0.76 eV/f.u.
* ΔE_f: 863.1 meV/atom
* M_tot: 1.45 μB per formula unit
* density of states at the Fermi level: 4.44 states/eV/cell

Lattice parameters (Å, degrees): 5.2365 5.2365 2.9834 90.00 90.00 120.00
Closest atoms and distances in Å follow each position.
Fractional positions:
Co 0.0000 0.0000 0.8616  2 Co 2.98, 3 Mg 3.03, 3 K 3.33
K 0.6667 0.3333 0.3321  2 K 2.98, 3 Co 3.33, 3 Mg 3.34
Mg 0.3333 0.6667 0.8062  2 Mg 2.98, 3 Co 3.03, 3 K 3.34

ZnNiRu: optimized geometry, PBE.

Results
* offset from the most stable computed form: 0.06 eV/f.u.
* ΔE_f: 24.4 meV/atom
* M_tot: 0.00 μB per formula unit
* density of states at the Fermi level: 2.38 states/eV/cell

Lattice parameters (Å, degrees): 2.6711 2.6711 6.3120 90.00 90.00 120.00
Closest atoms and distances in Å follow each position.
Fractional positions:
Ni 0.0000 0.0000 0.0016  3 Ru 2.54, 3 Zn 2.56, 6 Ni 2.67
Ru 0.6667 0.3333 0.3213  3 Ni 2.54, 6 Ru 2.67, 3 Zn 2.72
Zn 0.3333 0.6667 0.6770  3 Ni 2.56, 6 Zn 2.67, 3 Ru 2.72

InPdRh: optimized geometry, PBE.

Results
* offset from the most stable computed form: 0.79 eV/f.u.
* ΔE_f: 13.2 meV/atom
* M_tot: 0.00 μB per formula unit
* density of states at the Fermi level: 2.55 states/eV/cell

Lattice parameters (Å, degrees): 4.3486 4.3629 4.3669 89.38 120.38 120.33
Closest atoms and distances in Å follow each position.
Fractional positions:
In 0.4444 0.2221 0.6667  4 Pd 2.66-2.67, 4 Rh 2.66-2.67
Pd 0.9448 0.9716 0.9175  4 In 2.66-2.67
Rh 0.9441 0.4729 0.4157  4 In 2.66-2.67

SrTaRe2: optimized geometry, PBE.

Results
* offset from the most stable computed form: 2.55 eV/f.u.
* ΔE_f: 1183.8 meV/atom
* M_tot: 0.00 μB per formula unit
* density of states at the Fermi level: 9.97 states/eV/cell

Lattice parameters (Å, degrees): 4.9703 4.9703 9.5558 74.93 74.93 90.00
Closest atoms and distances in Å follow each position.
Fractional positions:
Re 0.8746 0.1250 0.2500  2 Re 2.49, 2 Ta 2.55
Re 0.8754 0.6250 0.2500  2 Re 2.49, 2 Ta 2.55
Re 0.3750 0.1254 0.7500  2 Re 2.49, 2 Ta 2.55
Re 0.8750 0.1246 0.7500  2 Re 2.49, 2 Ta 2.55
Sr 0.5000 0.5000 0.0000  4 Ta 3.51, 8 Re 3.56
Sr 0.2500 0.7500 0.5000  4 Ta 3.51, 8 Re 3.56
Ta 0.0000 0.0000 0.0000  4 Re 2.55
Ta 0.7500 0.2500 0.5000  4 Re 2.55

HoTmMo4: optimized geometry, PBE.

Results
* ΔE_f: 58.5 meV/atom
* M_tot: 0.00 μB per formula unit
* density of states at the Fermi level: 7.25 states/eV/cell

Lattice parameters (Å, degrees): 5.4990 5.4990 5.4990 60.00 60.00 60.00
Closest atoms and distances in Å follow each position.
Fractional positions:
Mo 0.6250 0.6250 0.1250  6 Mo 2.75
Mo 0.6250 0.1250 0.6250  6 Mo 2.75
Mo 0.6250 0.6250 0.6250  6 Mo 2.75
Mo 0.1250 0.6250 0.6250  6 Mo 2.75
Tm 0.0000 0.0000 0.0000  12 Mo 3.22, 4 Ho 3.37
Ho 0.2500 0.2500 0.2500  12 Mo 3.22, 4 Tm 3.37

KLi2MgPt: optimized geometry, PBE.

Results
* offset from the most stable computed form: 0.00 eV/f.u.
* ΔE_f: -209.1 meV/atom
* M_tot: 0.00 μB per formula unit
* density of states at the Fermi level: 2.31 states/eV/cell

Lattice parameters (Å, degrees): 5.0564 5.0564 5.1176 90.00 90.00 90.00
Closest atoms and distances in Å follow each position.
Fractional positions:
K 0.5000 0.5000 0.5000  4 Mg 3.58, 8 Li 3.60
Mg 0.0000 0.0000 0.5000  2 Pt 2.56
Pt 0.0000 0.0000 0.0000  4 Li 2.53, 2 Mg 2.56
Li 0.0000 0.5000 0.0000  2 Pt 2.53
Li 0.5000 0.0000 0.0000  2 Pt 2.53